1.
RbInHg2: relaxed, GGA-PBE.

Geometry as extended XYZ:
```
4
Lattice="5.204 0.000 0.000 2.602 4.507 0.000 2.602 1.502 6.133" Properties=species:S:1:pos:R:3 pbc="T T T"
Rb 5.204 3.004 3.067
Hg 2.602 1.502 0.787
Hg 7.806 4.507 5.346
In 0.000 0.000 0.000
```

## Properties
* ΔH_f (0 K): -149 meV/atom

***

2.
CeFeCoAs2: relaxed, GGA-PBE.

Geometry as extended XYZ:
```
5
Lattice="-2.188 -3.224 0.211 1.068 -0.482 3.722 -3.685 4.838 -0.362" Properties=species:S:1:pos:R:3 pbc="T T T"
Ce 0.000 0.000 0.000
As -3.100 2.180 1.172
As -1.705 -1.048 2.399
Co -1.589 1.252 2.663
Fe -3.217 -0.120 0.907
```

## Properties
* ΔH_f (0 K): -674 meV/atom

***

3.
Mg2TiGeS: relaxed, GGA-PBE.

Geometry as extended XYZ:
```
5
Lattice="4.866 0.000 0.000 0.000 5.164 0.000 0.000 0.000 4.866" Properties=species:S:1:pos:R:3 pbc="T T T"
Mg 0.000 0.000 2.433
Mg 2.433 0.000 0.000
Ti 2.433 2.582 2.433
S 0.000 2.582 0.000
Ge 0.000 0.000 0.000
```

## Properties
* ΔE_f (raw): 0.700 eV per atom

***

| no. | total magnetic moment (μB/f.u.) |
| --- | --- |
| 1 | 0.000 |
| 2 | 0.690 |
| 3 | 0.001 |